w) # Zr2MoHRh PBE relaxed
data_Zr2MoHRh
_cell_length_a 4.6718
_cell_length_b 4.6718
_cell_length_c 3.4881
_cell_angle_alpha 90.00
_cell_angle_beta 90.00
_cell_angle_gamma 90.00
_space_group_name_H-M_alt 'P 4/m m m'
_space_group_IT_number 123
_space_group_name_Hall '-P 4 2'
loop_
_atom_site_label
_atom_site_type_symbol
_atom_site_fract_x
_atom_site_fract_y
_atom_site_fract_z
Zr1 Zr 0.0000 0.5000 0.0000
Mo1 Mo 0.0000 0.0000 0.5000
H1 H 0.5000 0.5000 0.0000
Rh1 Rh 0.5000 0.5000 0.5000
# spin magnetization: 0.000 Bohr magnetons per cell
# calculated volume: 15.226 Å³ per atom


x) # Zr2MoHRh PBE relaxed
data_Zr2MoHRh
_cell_length_a 4.6571
_cell_length_b 4.6571
_cell_length_c 3.5121
_cell_angle_alpha 90.00
_cell_angle_beta 90.00
_cell_angle_gamma 90.00
_space_group_name_H-M_alt 'P 4/m m m'
_space_group_IT_number 123
_space_group_name_Hall '-P 4 2'
loop_
_atom_site_label
_atom_site_type_symbol
_atom_site_fract_x
_atom_site_fract_y
_atom_site_fract_z
Zr1 Zr 0.0000 0.5000 0.0000
Mo1 Mo 0.0000 0.0000 0.5000
H1 H 0.0000 0.0000 0.0000
Rh1 Rh 0.5000 0.5000 0.5000
# spin magnetization: 0.000 Bohr magnetons per cell
# calculated volume: 15.234 Å³ per atom


Verdict on stability: w) comes out at the bottom.


w) # MoH2Ru PBE relaxed
data_MoH2Ru
_cell_length_a 2.9122
_cell_length_b 2.9122
_cell_length_c 14.8358
_cell_angle_alpha 90.00
_cell_angle_beta 90.00
_cell_angle_gamma 120.00
_space_group_name_H-M_alt 'R -3 m'
_space_group_IT_number 166
_space_group_name_Hall '-R 3 2"'
loop_
_atom_site_label
_atom_site_type_symbol
_atom_site_fract_x
_atom_site_fract_y
_atom_site_fract_z
Mo1 Mo 0.0000 0.0000 0.0000
H1 H 0.0000 0.0000 0.1242
Ru1 Ru 0.0000 0.0000 0.5000
# spin magnetization: 0.000 Bohr magnetons per cell
# calculated volume: 9.081 Å³ per atom


x) # MoH2Ru PBE relaxed
data_MoH2Ru
_cell_length_a 2.8304
_cell_length_b 2.8304
_cell_length_c 15.0849
_cell_angle_alpha 90.00
_cell_angle_beta 90.00
_cell_angle_gamma 120.00
_space_group_name_H-M_alt 'R 3 m'
_space_group_IT_number 160
_space_group_name_Hall 'R 3 -2"'
loop_
_atom_site_label
_atom_site_type_symbol
_atom_site_fract_x
_atom_site_fract_y
_atom_site_fract_z
Mo1 Mo 0.0000 0.0000 0.0000
H1 H 0.0000 0.0000 0.2375
H2 H 0.0000 0.0000 0.4201
Ru1 Ru 0.0000 0.0000 0.8218
# spin magnetization: 0.000 Bohr magnetons per cell
# calculated volume: 8.722 Å³ per atom


Verdict on stability: w) comes out at the bottom.


w) # MoH2Ru PBE relaxed
data_MoH2Ru
_cell_length_a 5.8189
_cell_length_b 5.0206
_cell_length_c 4.5685
_cell_angle_alpha 90.00
_cell_angle_beta 90.00
_cell_angle_gamma 90.00
_space_group_name_H-M_alt 'P b c m'
_space_group_IT_number 57
loop_
_space_group_symop_operation_xyz
'x,y,z'
'-x,-y,-z'
'-x,-y,z+1/2'
'x,y,-z+1/2'
'x,-y+1/2,-z'
'-x,y+1/2,z'
'-x,y+1/2,-z+1/2'
'x,-y+1/2,z+1/2'
loop_
_atom_site_label
_atom_site_type_symbol
_atom_site_fract_x
_atom_site_fract_y
_atom_site_fract_z
Mo1 Mo 0.1296 0.0812 0.2500
H1 H 0.1096 0.7500 0.0000
H2 H 0.3833 0.2500 0.0000
Ru1 Ru 0.3768 0.5860 0.2500
# spin magnetization: 0.000 Bohr magnetons per cell
# calculated volume: 8.342 Å³ per atom


x) # MoH2Ru PBE relaxed
data_MoH2Ru
_cell_length_a 5.2703
_cell_length_b 5.2703
_cell_length_c 5.2703
_cell_angle_alpha 90.00
_cell_angle_beta 90.00
_cell_angle_gamma 90.00
_space_group_name_H-M_alt 'F m -3 m'
_space_group_IT_number 225
_space_group_name_Hall '-F 4 2 3'
loop_
_atom_site_label
_atom_site_type_symbol
_atom_site_fract_x
_atom_site_fract_y
_atom_site_fract_z
Mo1 Mo 0.0000 0.0000 0.0000
H1 H 0.2500 0.2500 0.2500
Ru1 Ru 0.0000 0.0000 0.5000
# spin magnetization: 0.000 Bohr magnetons per cell
# calculated volume: 9.149 Å³ per atom


y) # MoH2Ru PBE relaxed
data_MoH2Ru
_cell_length_a 4.1848
_cell_length_b 4.1848
_cell_length_c 8.2663
_cell_angle_alpha 90.00
_cell_angle_beta 90.00
_cell_angle_gamma 90.00
_space_group_name_H-M_alt 'I -4 2 d'
_space_group_IT_number 122
_space_group_name_Hall 'I -4 2bw'
loop_
_atom_site_label
_atom_site_type_symbol
_atom_site_fract_x
_atom_site_fract_y
_atom_site_fract_z
Mo1 Mo 0.0000 0.0000 0.0000
H1 H 0.2331 0.2500 0.6250
Ru1 Ru 0.0000 0.0000 0.5000
# spin magnetization: 0.000 Bohr magnetons per cell
# calculated volume: 9.048 Å³ per atom


Verdict on stability: x) comes out at the bottom.